Entry from Alexandria: a geometry-optimized Y2TeO6 structure (PBE-GGA). Values from VASP.

Calculated values
Total DFT energy (no corrections): -7.6248 eV/atom
Spin magnetization: 0.00 μB/cell

Geometry as Quantum ESPRESSO input:
```
&SYSTEM
  ibrav = 0, nat = 27, ntyp = 3
/
ATOMIC_SPECIES
Y 88.91 Y.upf
Te 127.60 Te.upf
O 16.00 O.upf
CELL_PARAMETERS angstrom
9.1714 0.0000 0.0000
-4.5857 7.9427 0.0000
0.0000 0.0000 5.2331
ATOMIC_POSITIONS angstrom
Y -1.2933 2.2401 0.0000
Y -2.8384 4.9163 2.6165
Y 2.5867 0.0000 0.0000
Y 1.7473 3.0264 2.6165
Y 5.6769 0.0000 2.6165
Y 3.2924 5.7026 0.0000
Te 0.0000 0.0000 2.6165
Te 0.0000 5.2951 5.2268
Te 4.5857 2.6476 0.0063
O -3.3132 6.9714 1.5126
O 0.2049 1.5877 1.5126
O -1.2743 4.3211 1.1080
O 1.2725 0.9713 3.7205
O -1.4164 6.0518 4.1046
O 0.0529 3.6902 4.1046
O -0.2064 6.8857 1.1080
O 1.4807 4.6786 1.1080
O 3.1693 1.8909 1.1285
O 1.3635 6.1435 4.1046
O 4.3793 1.0570 4.1251
O 3.3114 3.6216 4.1251
O 5.9492 1.7992 1.1285
O 4.6387 4.2525 1.1285
O 3.1083 7.3263 1.5126
O 6.0664 3.2641 4.1251
O 7.6940 0.6164 3.7205
O 4.7907 6.3550 3.7205
```